No. 1
The following is a DFT calculation (PBE) of a relaxed KZn2Cu crystal.

Lattice parameters (Å, degrees): 6.2913 6.2913 2.7264 99.89 99.89 123.46
Element x y z (fractional)
K 0.0000 0.0000 0.0000
Zn 0.0000 0.5000 0.5000
Zn 0.5000 0.0000 0.5000
Cu 0.5000 0.5000 0.0000

SG	C2/m

---

No. 2
The following is a DFT calculation (PBE) of a relaxed TbTmTl crystal.

Lattice parameters (Å, degrees): 6.7071 6.7071 4.9042 90.00 90.00 91.73
Element x y z (fractional)
Tb 0.1886 0.8114 0.0000
Tb 0.8114 0.1886 0.0000
Tm 0.3135 0.3135 0.5000
Tm 0.6865 0.6865 0.5000
Tl 0.0000 0.0000 0.5000
Tl 0.5000 0.5000 0.0000

distance to the lowest polymorph of the same formula	493	meV/atom
SG	Cmmm

---

No. 3
The following is a DFT calculation (PBE) of a relaxed Sr4Li5Mg crystal.

Lattice parameters (Å, degrees): 8.3254 8.3254 8.3254 97.03 97.03 139.04
Element x y z (fractional)
Sr 0.0000 0.2943 0.2943
Sr 0.0000 0.7057 0.7057
Sr 0.2943 0.0000 0.2943
Sr 0.7057 0.0000 0.7057
Li 0.3283 0.3283 0.6562
Li 0.3283 0.6721 0.0000
Li 0.6721 0.3283 0.0000
Li 0.6721 0.6721 0.3438
Li 0.7466 0.7466 0.0000
Mg 0.2578 0.2578 0.0000

SG	I4mm

---

No. 4
The following is a DFT calculation (PBE) of a relaxed TlAg2Au crystal.

Lattice parameters (Å, degrees): 6.2650 6.2650 6.2650 101.93 101.93 125.92
Element x y z (fractional)
Tl 0.0000 0.0000 0.0000
Tl 0.7500 0.2500 0.5000
Ag 0.1413 0.6250 0.0163
Ag 0.3750 0.3913 0.5163
Ag 0.6087 0.1250 0.9837
Ag 0.8750 0.8587 0.4837
Au 0.2500 0.7500 0.5000
Au 0.5000 0.5000 0.0000

distance to the lowest polymorph of the same formula	133	meV/atom
SG	I-42d

---

No. 5
The following is a DFT calculation (PBE) of a relaxed GeRu3Pb crystal.

Lattice parameters (Å, degrees): 5.0081 5.0081 5.0081 90.00 90.00 90.00
Element x y z (fractional)
Ge 0.0000 0.0000 0.0000
Ru 0.0000 0.5000 0.5000
Ru 0.5000 0.0000 0.5000
Ru 0.5000 0.5000 0.0000
Pb 0.5000 0.5000 0.5000

distance to the lowest polymorph of the same formula	1294	meV/atom
SG	Pm-3m

---

No. 6
The following is a DFT calculation (PBE) of a relaxed LiMg2Re crystal.

Lattice parameters (Å, degrees): 4.1628 4.1628 3.7937 90.00 90.00 90.00
Element x y z (fractional)
Li 0.0000 0.0000 0.0000
Mg 0.0000 0.5000 0.5000
Mg 0.5000 0.0000 0.5000
Re 0.5000 0.5000 0.0000

distance to the lowest polymorph of the same formula	259	meV/atom
SG	P4/mmm

---

One value per record, in order, for ΔE_f: 0.470; 0.240; 0.024; 0.190; 2.158; 0.440 eV/atom.
One value per record, in order, for M_tot: 0.000; 0.940; 0.000; 0.000; 5.049; 0.000 μB/f.u..